[1]
The following is a DFT calculation (PBE-GGA) of a relaxed structure of CsIr2PtRh.

Structure (CIF):
```
data_CsIr2PtRh
_symmetry_space_group_name_H-M 'P 4/m m m'
_symmetry_Int_Tables_number 123
_symmetry_space_group_name_Hall '-P 4 2'
_cell_length_a 4.801
_cell_length_b 4.801
_cell_length_c 6.145
_cell_angle_alpha 90.00
_cell_angle_beta 90.00
_cell_angle_gamma 90.00
loop_
_atom_site_label
_atom_site_type_symbol
_atom_site_fract_x
_atom_site_fract_y
_atom_site_fract_z
_atom_site_occupancy
Cs1 Cs 0.000 0.000 0.000 1
Ir1 Ir 0.000 0.500 0.500 1
Pt1 Pt 0.000 0.000 0.500 1
Rh1 Rh 0.500 0.500 0.000 1
```

Output
Calculated formation energy ... 1.98 eV/atom

[2]
The following is a DFT calculation (PBE-GGA) of a relaxed structure of Eu2MgGe.

Structure (CIF):
```
data_Eu2MgGe
_symmetry_space_group_name_H-M 'P 4/m m m'
_symmetry_Int_Tables_number 123
_symmetry_space_group_name_Hall '-P 4 2'
_cell_length_a 3.784
_cell_length_b 3.784
_cell_length_c 8.053
_cell_angle_alpha 90.00
_cell_angle_beta 90.00
_cell_angle_gamma 90.00
loop_
_atom_site_label
_atom_site_type_symbol
_atom_site_fract_x
_atom_site_fract_y
_atom_site_fract_z
_atom_site_occupancy
Eu1 Eu 0.000 0.000 0.215 1
Mg1 Mg 0.500 0.500 0.500 1
Ge1 Ge 0.500 0.500 0.000 1
```

Output
Calculated formation energy ... -0.36 eV/atom

[3]
The following is a DFT calculation (PBE-GGA) of a relaxed structure of ZnRu3.

Structure (CIF):
```
data_ZnRu3
_symmetry_space_group_name_H-M 'P m m m'
_symmetry_Int_Tables_number 47
_cell_length_a 2.750
_cell_length_b 3.845
_cell_length_c 5.263
_cell_angle_alpha 90.00
_cell_angle_beta 90.00
_cell_angle_gamma 90.00
loop_
_symmetry_equiv_pos_as_xyz
'x,y,z'
'-x,-y,-z'
'-x,-y,z'
'x,y,-z'
'x,-y,-z'
'-x,y,z'
'-x,y,-z'
'x,-y,z'
loop_
_atom_site_label
_atom_site_type_symbol
_atom_site_fract_x
_atom_site_fract_y
_atom_site_fract_z
_atom_site_occupancy
Zn1 Zn 0.000 0.000 0.000 1
Ru1 Ru 0.000 0.000 0.500 1
Ru2 Ru 0.500 0.500 0.246 1
```

Output
Calculated formation energy ... 0.11 eV/atom

[4]
The following is a DFT calculation (PBE-GGA) of a relaxed structure of Se2IBrN.

Structure (CIF):
```
data_Se2IBrN
_symmetry_space_group_name_H-M 'P 4/m m m'
_symmetry_Int_Tables_number 123
_symmetry_space_group_name_Hall '-P 4 2'
_cell_length_a 5.588
_cell_length_b 5.588
_cell_length_c 3.763
_cell_angle_alpha 90.00
_cell_angle_beta 90.00
_cell_angle_gamma 90.00
loop_
_atom_site_label
_atom_site_type_symbol
_atom_site_fract_x
_atom_site_fract_y
_atom_site_fract_z
_atom_site_occupancy
Se1 Se 0.000 0.500 0.000 1
I1 I 0.000 0.000 0.500 1
Br1 Br 0.500 0.500 0.000 1
N1 N 0.500 0.500 0.500 1
```

Output
Uncorrected formation energy ... 145.08 kJ/mol of atoms
Excess energy over the best structure of this formula in the dataset ... 9.52 kcal/mol of atoms

[5]
The following is a DFT calculation (PBE-GGA) of a relaxed structure of Tl2InTeH.

Structure (CIF):
```
data_Tl2InTeH
_symmetry_space_group_name_H-M 'P 4/m m m'
_symmetry_Int_Tables_number 123
_symmetry_space_group_name_Hall '-P 4 2'
_cell_length_a 5.154
_cell_length_b 5.154
_cell_length_c 5.049
_cell_angle_alpha 90.00
_cell_angle_beta 90.00
_cell_angle_gamma 90.00
loop_
_atom_site_label
_atom_site_type_symbol
_atom_site_fract_x
_atom_site_fract_y
_atom_site_fract_z
_atom_site_occupancy
Tl1 Tl 0.000 0.500 0.000 1
In1 In 0.000 0.000 0.500 1
Te1 Te 0.500 0.500 0.500 1
H1 H 0.000 0.000 0.000 1
```

Output
Calculated total energy ... -2.750 eV/atom

[6]
The following is a DFT calculation (PBE-GGA) of a relaxed structure of Hf6Rh2S.

Structure (CIF):
```
data_Hf6Rh2S
_symmetry_space_group_name_H-M 'P 1 21/c 1'
_symmetry_Int_Tables_number 14
_cell_length_a 5.842
_cell_length_b 6.624
_cell_length_c 10.738
_cell_angle_alpha 90.00
_cell_angle_beta 120.45
_cell_angle_gamma 90.00
loop_
_symmetry_equiv_pos_as_xyz
'x,y,z'
'-x,-y,-z'
'-x,y+1/2,-z+1/2'
'x,-y+1/2,z+1/2'
loop_
_atom_site_label
_atom_site_type_symbol
_atom_site_fract_x
_atom_site_fract_y
_atom_site_fract_z
_atom_site_occupancy
Hf1 Hf 0.081 0.199 0.435 1
Hf2 Hf 0.279 0.659 0.443 1
Hf3 Hf 0.403 0.038 0.242 1
Rh1 Rh 0.159 0.117 0.737 1
S1 S 0.500 0.000 0.500 1
```

Output
Uncorrected formation energy ... -66.20 kJ/mol of atoms

[7]
The following is a DFT calculation (PBE-GGA) of a relaxed structure of LiCuP3O9.

Structure (CIF):
```
data_LiCuP3O9
_symmetry_space_group_name_H-M 'P -1'
_symmetry_Int_Tables_number 2
_cell_length_a 9.612
_cell_length_b 9.636
_cell_length_c 9.647
_cell_angle_alpha 105.79
_cell_angle_beta 106.87
_cell_angle_gamma 112.82
loop_
_symmetry_equiv_pos_as_xyz
'x,y,z'
'-x,-y,-z'
loop_
_atom_site_label
_atom_site_type_symbol
_atom_site_fract_x
_atom_site_fract_y
_atom_site_fract_z
_atom_site_occupancy
Li1 Li 0.139 0.332 0.181 1
Li2 Li 0.152 0.569 0.001 1
Cu1 Cu 0.241 0.731 0.781 1
Cu2 Cu 0.396 0.206 0.289 1
P1 P 0.012 0.647 0.399 1
P2 P 0.076 0.834 0.204 1
P3 P 0.182 0.071 0.914 1
P4 P 0.314 0.419 0.577 1
P5 P 0.454 0.711 0.341 1
P6 P 0.485 0.107 0.856 1
O1 O 0.007 0.675 0.057 1
O2 O 0.062 0.515 0.750 1
O3 O 0.067 0.117 0.799 1
O4 O 0.103 0.886 0.859 1
O5 O 0.105 0.800 0.362 1
O6 O 0.134 0.673 0.553 1
O7 O 0.136 0.326 0.581 1
O8 O 0.235 0.186 0.087 1
O9 O 0.236 0.980 0.242 1
O10 O 0.288 0.370 0.406 1
O11 O 0.289 0.572 0.203 1
O12 O 0.342 0.143 0.877 1
O13 O 0.346 0.756 0.005 1
O14 O 0.397 0.328 0.658 1
O15 O 0.408 0.602 0.695 1
O16 O 0.441 0.930 0.825 1
O17 O 0.462 0.769 0.505 1
O18 O 0.481 0.127 0.697 1
```

Output
Uncorrected formation energy ... -187.88 kJ/mol of atoms
Excess energy over the best structure of this formula in the dataset ... 0.03 kcal/mol of atoms

[8]
The following is a DFT calculation (PBE-GGA) of a relaxed structure of Ac3Cd2Rh.

Structure (CIF):
```
data_Ac3Cd2Rh
_symmetry_space_group_name_H-M 'P 1 21/m 1'
_symmetry_Int_Tables_number 11
_cell_length_a 5.713
_cell_length_b 8.175
_cell_length_c 9.028
_cell_angle_alpha 90.00
_cell_angle_beta 108.38
_cell_angle_gamma 90.00
loop_
_symmetry_equiv_pos_as_xyz
'x,y,z'
'-x,-y,-z'
'-x,y+1/2,-z'
'x,-y+1/2,z'
loop_
_atom_site_label
_atom_site_type_symbol
_atom_site_fract_x
_atom_site_fract_y
_atom_site_fract_z
_atom_site_occupancy
Ac1 Ac 0.000 0.250 0.000 1
Ac2 Ac 0.369 0.000 0.738 1
Cd1 Cd 0.201 0.250 0.404 1
Cd2 Cd 0.202 0.750 0.404 1
Rh1 Rh 0.499 0.250 0.000 1
```

Output
Calculated formation energy ... -0.41 eV/atom
Excess energy over the best structure of this formula in the dataset ... 0.00 kcal/mol of atoms

[9]
The following is a DFT calculation (PBE-GGA) of a relaxed structure of NbAlGe2S.

Structure (CIF):
```
data_NbAlGe2S
_symmetry_space_group_name_H-M 'P 4/m m m'
_symmetry_Int_Tables_number 123
_symmetry_space_group_name_Hall '-P 4 2'
_cell_length_a 4.790
_cell_length_b 4.790
_cell_length_c 4.501
_cell_angle_alpha 90.00
_cell_angle_beta 90.00
_cell_angle_gamma 90.00
loop_
_atom_site_label
_atom_site_type_symbol
_atom_site_fract_x
_atom_site_fract_y
_atom_site_fract_z
_atom_site_occupancy
Nb1 Nb 0.000 0.000 0.000 1
Al1 Al 0.500 0.500 0.500 1
Ge1 Ge 0.000 0.500 0.500 1
S1 S 0.500 0.500 0.000 1
```

Output
Uncorrected formation energy ... 84.70 kJ/mol of atoms

[10]
The following is a DFT calculation (PBE-GGA) of a relaxed structure of SrAc2Ir.

Structure (CIF):
```
data_SrAc2Ir
_symmetry_space_group_name_H-M 'R 3 m'
_symmetry_Int_Tables_number 160
_symmetry_space_group_name_Hall 'R 3 -2"'
_cell_length_a 4.3872
_cell_length_b 4.3872
_cell_length_c 31.0891
_cell_angle_alpha 90.00
_cell_angle_beta 90.00
_cell_angle_gamma 120.00
loop_
_atom_site_label
_atom_site_type_symbol
_atom_site_fract_x
_atom_site_fract_y
_atom_site_fract_z
_atom_site_occupancy
Sr1 Sr 0.0000 0.0000 0.0000 1
Ac1 Ac 0.0000 0.0000 0.2187 1
Ac2 Ac 0.0000 0.0000 0.4512 1
Ir1 Ir 0.0000 0.0000 0.8350 1
```

Output
Calculated formation energy ... -0.44 eV/atom
Excess energy over the best structure of this formula in the dataset ... 0.00 kcal/mol of atoms

[11]
The following is a DFT calculation (PBE-GGA) of a relaxed structure of AcPrDy3.

Structure (CIF):
```
data_AcPrDy3
_symmetry_space_group_name_H-M 'P 1 21/c 1'
_symmetry_Int_Tables_number 14
_cell_length_a 9.507
_cell_length_b 6.439
_cell_length_c 12.590
_cell_angle_alpha 90.00
_cell_angle_beta 114.02
_cell_angle_gamma 90.00
loop_
_symmetry_equiv_pos_as_xyz
'x,y,z'
'-x,-y,-z'
'-x,y+1/2,-z+1/2'
'x,-y+1/2,z+1/2'
loop_
_atom_site_label
_atom_site_type_symbol
_atom_site_fract_x
_atom_site_fract_y
_atom_site_fract_z
_atom_site_occupancy
Ac1 Ac 0.154 0.174 0.102 1
Pr1 Pr 0.261 0.666 0.001 1
Dy1 Dy 0.051 0.665 0.205 1
Dy2 Dy 0.354 0.162 0.902 1
Dy3 Dy 0.446 0.672 0.799 1
```

Output
Calculated formation energy ... 0.05 eV/atom